Computed, not measured: an optimized crystal structure of NaSiP at the PBE level of DFT.

## Properties
- Formation energy (no corrections): -25.87 kJ/mol of atoms
- Size of the total moment: 0.0 μB per formula unit

Structure (extended XYZ):
```
9
Lattice="3.538 0.000 0.000 -1.769 3.064 0.000 0.000 0.000 17.323" Properties=species:S:1:pos:R:3 pbc="T T T"
Na 0.000 0.000 0.000
Na 0.000 2.043 11.549
Na 1.769 1.021 5.774
Si 0.000 0.000 13.938
Si 0.000 2.043 8.163
Si 1.769 1.021 2.389
P 0.000 0.000 3.505
P 0.000 2.043 15.054
P 1.769 1.021 9.280
```